Record 1
# YFe3H | Alexandria | PBE | relaxed
# raw total energy: -4.65 eV/atom
data_YFe3H
_symmetry_space_group_name_H-M 'P m -3 m'
_symmetry_Int_Tables_number 221
_symmetry_space_group_name_Hall '-P 4 2 3'
_cell_length_a 4.8239
_cell_length_b 4.8239
_cell_length_c 4.8239
_cell_angle_alpha 90.00
_cell_angle_beta 90.00
_cell_angle_gamma 90.00
loop_
_atom_site_label
_atom_site_fract_x
_atom_site_fract_y
_atom_site_fract_z
Y1 0.0000 0.0000 0.0000
Fe1 0.0000 0.0000 0.5000
H1 0.5000 0.5000 0.5000

Record 2
# Sm6CoBi3 | Alexandria | PBE | relaxed
# raw total energy: -5.07 eV/atom
# ΔE_f: -360 meV/atom
data_Sm6CoBi3
_symmetry_space_group_name_H-M 'C m c 21'
_symmetry_Int_Tables_number 36
_cell_length_a 11.7746
_cell_length_b 14.7491
_cell_length_c 7.6546
_cell_angle_alpha 90.00
_cell_angle_beta 90.00
_cell_angle_gamma 90.00
loop_
_symmetry_equiv_pos_as_xyz
'x,y,z'
'-x,-y,z+1/2'
'-x,y,z'
'x,-y,z+1/2'
'x+1/2,y+1/2,z'
'-x+1/2,-y+1/2,z+1/2'
'-x+1/2,y+1/2,z'
'x+1/2,-y+1/2,z+1/2'
loop_
_atom_site_label
_atom_site_fract_x
_atom_site_fract_y
_atom_site_fract_z
Sm1 0.0000 0.0049 0.0000
Sm2 0.0000 0.2415 0.5426
Sm3 0.1496 0.2431 0.0904
Sm4 0.1634 0.4650 0.5703
Co1 0.0000 0.1369 0.2557
Bi1 0.0000 0.3890 0.8755
Bi2 0.1829 0.1119 0.7584

Record 3
# CsZrS2Br | Alexandria | PBE | relaxed
# raw total energy: -5.26 eV/atom
# energy relative to the elements, uncorrected: -1.397 eV/atom
data_CsZrS2Br
_symmetry_space_group_name_H-M 'P 4/m m m'
_symmetry_Int_Tables_number 123
_symmetry_space_group_name_Hall '-P 4 2'
_cell_length_a 5.0738
_cell_length_b 5.0738
_cell_length_c 5.6080
_cell_angle_alpha 90.00
_cell_angle_beta 90.00
_cell_angle_gamma 90.00
loop_
_atom_site_label
_atom_site_fract_x
_atom_site_fract_y
_atom_site_fract_z
Cs1 0.0000 0.0000 0.0000
Zr1 0.5000 0.5000 0.5000
S1 0.0000 0.5000 0.5000
Br1 0.5000 0.5000 0.0000

Record 4
# Tb2AlTl3S6 | Alexandria | PBE | relaxed
# raw total energy: -4.95 eV/atom
# energy relative to the elements, uncorrected: -1.213 eV/atom
data_Tb2AlTl3S6
_symmetry_space_group_name_H-M 'C 1 2/m 1'
_symmetry_Int_Tables_number 12
_cell_length_a 6.8139
_cell_length_b 11.7441
_cell_length_c 7.8330
_cell_angle_alpha 90.00
_cell_angle_beta 106.78
_cell_angle_gamma 90.00
loop_
_symmetry_equiv_pos_as_xyz
'x,y,z'
'-x,-y,-z'
'-x,y,-z'
'x,-y,z'
'x+1/2,y+1/2,z'
'-x+1/2,-y+1/2,-z'
'-x+1/2,y+1/2,-z'
'x+1/2,-y+1/2,z'
loop_
_atom_site_label
_atom_site_fract_x
_atom_site_fract_y
_atom_site_fract_z
Tb1 0.0000 0.1662 0.0000
Al1 0.0000 0.5000 0.0000
Tl1 0.0000 0.0000 0.5000
Tl2 0.0000 0.3281 0.5000
S1 0.2131 0.3491 0.1855
S2 0.2413 0.5000 0.8035

Record 5
# MnAsRuW2 | Alexandria | PBE | relaxed
# raw total energy: -7.75 eV/atom
# ΔE_f: 2054 meV/atom
data_MnAsRuW2
_symmetry_space_group_name_H-M 'P 4/m m m'
_symmetry_Int_Tables_number 123
_symmetry_space_group_name_Hall '-P 4 2'
_cell_length_a 4.7389
_cell_length_b 4.7389
_cell_length_c 4.4809
_cell_angle_alpha 90.00
_cell_angle_beta 90.00
_cell_angle_gamma 90.00
loop_
_atom_site_label
_atom_site_fract_x
_atom_site_fract_y
_atom_site_fract_z
Mn1 0.0000 0.0000 0.0000
As1 0.5000 0.5000 0.0000
Ru1 0.5000 0.5000 0.5000
W1 0.0000 0.5000 0.5000

Record 6
# Ta3TlO | Alexandria | PBE | relaxed
# raw total energy: -5.57 eV/atom
# energy relative to the elements, uncorrected: 3.010 eV/atom
data_Ta3TlO
_symmetry_space_group_name_H-M 'P m -3 m'
_symmetry_Int_Tables_number 221
_symmetry_space_group_name_Hall '-P 4 2 3'
_cell_length_a 5.0955
_cell_length_b 5.0955
_cell_length_c 5.0955
_cell_angle_alpha 90.00
_cell_angle_beta 90.00
_cell_angle_gamma 90.00
loop_
_atom_site_label
_atom_site_fract_x
_atom_site_fract_y
_atom_site_fract_z
Ta1 0.0000 0.0000 0.5000
Tl1 0.0000 0.0000 0.0000
O1 0.5000 0.5000 0.5000

Record 7
# LiDyI4 | Alexandria | PBE | relaxed
# raw total energy: -3.44 eV/atom
# energy relative to the elements, uncorrected: -1.322 eV/atom
data_LiDyI4
_symmetry_space_group_name_H-M 'P 1 2/m 1'
_symmetry_Int_Tables_number 10
_cell_length_a 7.5447
_cell_length_b 4.3351
_cell_length_c 8.1205
_cell_angle_alpha 90.00
_cell_angle_beta 106.92
_cell_angle_gamma 90.00
loop_
_symmetry_equiv_pos_as_xyz
'x,y,z'
'-x,-y,-z'
'-x,y,-z'
'x,-y,z'
loop_
_atom_site_label
_atom_site_fract_x
_atom_site_fract_y
_atom_site_fract_z
Li1 0.0000 0.0000 0.0000
Dy1 0.5000 0.5000 0.0000
I1 0.2348 0.5000 0.2123
I2 0.2666 0.0000 0.7678

Record 8
# CaIn2OsPb | Alexandria | PBE | relaxed
# raw total energy: -4.29 eV/atom
# ΔE_f: 198 meV/atom
data_CaIn2OsPb
_symmetry_space_group_name_H-M 'P 4/m m m'
_symmetry_Int_Tables_number 123
_symmetry_space_group_name_Hall '-P 4 2'
_cell_length_a 5.2085
_cell_length_b 5.2085
_cell_length_c 5.3185
_cell_angle_alpha 90.00
_cell_angle_beta 90.00
_cell_angle_gamma 90.00
loop_
_atom_site_label
_atom_site_fract_x
_atom_site_fract_y
_atom_site_fract_z
Ca1 0.0000 0.0000 0.0000
In1 0.0000 0.5000 0.5000
Os1 0.5000 0.5000 0.5000
Pb1 0.5000 0.5000 0.0000

Record 9
# KMg2ZrAs | Alexandria | PBE | relaxed
# raw total energy: -3.30 eV/atom
# ΔE_f: 200 meV/atom
data_KMg2ZrAs
_symmetry_space_group_name_H-M 'P 4/m m m'
_symmetry_Int_Tables_number 123
_symmetry_space_group_name_Hall '-P 4 2'
_cell_length_a 5.7959
_cell_length_b 5.7959
_cell_length_c 5.1994
_cell_angle_alpha 90.00
_cell_angle_beta 90.00
_cell_angle_gamma 90.00
loop_
_atom_site_label
_atom_site_fract_x
_atom_site_fract_y
_atom_site_fract_z
K1 0.0000 0.0000 0.0000
Mg1 0.0000 0.5000 0.5000
Zr1 0.5000 0.5000 0.5000
As1 0.5000 0.5000 0.0000

Record 10
# Ho4CoTe | Alexandria | PBE | relaxed
# raw total energy: -5.31 eV/atom
# energy relative to the elements, uncorrected: -0.547 eV/atom
data_Ho4CoTe
_symmetry_space_group_name_H-M 'P n m a'
_symmetry_Int_Tables_number 62
_cell_length_a 8.1973
_cell_length_b 3.8525
_cell_length_c 19.3159
_cell_angle_alpha 90.00
_cell_angle_beta 90.00
_cell_angle_gamma 90.00
loop_
_symmetry_equiv_pos_as_xyz
'x,y,z'
'-x,-y,-z'
'-x+1/2,-y,z+1/2'
'x+1/2,y,-z+1/2'
'x+1/2,-y+1/2,-z+1/2'
'-x+1/2,y+1/2,z+1/2'
'-x,y+1/2,-z'
'x,-y+1/2,z'
loop_
_atom_site_label
_atom_site_fract_x
_atom_site_fract_y
_atom_site_fract_z
Ho1 0.0194 0.2500 0.0675
Ho2 0.0459 0.7500 0.2162
Ho3 0.1364 0.7500 0.6457
Ho4 0.1448 0.7500 0.4542
Co1 0.2329 0.2500 0.5512
Te1 0.2466 0.2500 0.3135

Record 11
# LaMn2Ru | Alexandria | PBE | relaxed
# raw total energy: -7.79 eV/atom
# ΔE_f: 346 meV/atom
data_LaMn2Ru
_symmetry_space_group_name_H-M 'P m m m'
_symmetry_Int_Tables_number 47
_cell_length_a 3.9257
_cell_length_b 4.0770
_cell_length_c 4.6974
_cell_angle_alpha 90.00
_cell_angle_beta 90.00
_cell_angle_gamma 90.00
loop_
_symmetry_equiv_pos_as_xyz
'x,y,z'
'-x,-y,-z'
'-x,-y,z'
'x,y,-z'
'x,-y,-z'
'-x,y,z'
'-x,y,-z'
'x,-y,z'
loop_
_atom_site_label
_atom_site_fract_x
_atom_site_fract_y
_atom_site_fract_z
La1 0.0000 0.0000 0.0000
Mn1 0.0000 0.5000 0.5000
Mn2 0.5000 0.0000 0.5000
Ru1 0.5000 0.5000 0.0000

Calculated mass density in order - 3.8, 7.9, 4.2, 6.4, 9.9, 9.6, 4.4, 7.7, 2.4, 9.2, 7.7 g cm⁻³